(1)
Entry from Alexandria via LeMat-Bulk: an optimized crystal structure of PrScTeAs (GGA-PBE).

Lattice parameters (Å, degrees): 4.1755 4.1755 21.2181 90.00 90.00 120.00
Space group R3m (No. 160, hexagonal axes)
Symmetry-distinct sites (fractional):
Pr 0.0000 0.0000 0.0000 (multiplicity 3)
Sc 0.0000 0.0000 0.5214 (multiplicity 3)
Te 0.0000 0.0000 0.7693 (multiplicity 3)
As 0.0000 0.0000 0.2512 (multiplicity 3)

Values from the calculation:
Spin magnetization = 0.0 μB per cell
DOS at the Fermi energy = 5.31 states/eV/cell
Formation energy (no corrections) = -543 kJ/mol of formula units
DFT total energy = -6.132 eV per atom

***

(2)
Entry from Alexandria via LeMat-Bulk: an optimized crystal structure of NaEuAu2 (GGA-PBE).

Lattice parameters (Å, degrees): 7.309 7.309 7.309 90.00 90.00 90.00
Space group Fm-3m (No. 225)
Symmetry-distinct sites (fractional):
Na 0.000 0.000 0.000 (multiplicity 4)
Eu 0.000 0.000 0.500 (multiplicity 4)
Au 0.250 0.250 0.250 (multiplicity 8)

Values from the calculation:
Energy relative to the elements = -579 meV/atom
Spin magnetization = 28.5 μB per cell
DOS at the Fermi energy = 7.96 states/eV/cell
DFT total energy = -5.116 eV per atom

***

(3)
Entry from Alexandria via LeMat-Bulk: an optimized crystal structure of Tl5AuSe (GGA-PBE).

Lattice parameters (Å, degrees): 6.958 4.347 14.391 90.00 93.38 90.00
Space group P2_1/m (No. 11)
Symmetry-distinct sites (fractional):
Tl 0.007 0.250 0.300 (multiplicity 2)
Tl 0.196 0.750 0.948 (multiplicity 2)
Tl 0.238 0.750 0.487 (multiplicity 2)
Tl 0.348 0.250 0.124 (multiplicity 2)
Tl 0.371 0.250 0.742 (multiplicity 2)
Au 0.040 0.750 0.146 (multiplicity 2)
Se 0.421 0.250 0.366 (multiplicity 2)

Values from the calculation:
Spin magnetization = 0.0 μB per cell
DOS at the Fermi energy = 5.49 states/eV/cell
Formation energy (no corrections) = -89 kJ/mol of formula units
DFT total energy = -2.788 eV per atom